TlHg5 after structural relaxation. Source: Alexandria via LeMat-Bulk, functional PBE-GGA.

Cell and atoms, written as POSCAR:
```
TlHg5
1.0
5.8503 -1.7661 0.0000
5.8503 1.7661 0.0000
-2.8958 0.0000 8.1326
Tl Hg
1 5
Direct
0.0000 0.0000 0.0000
0.3087 0.3087 0.1315
0.3320 0.3320 0.6610
0.6457 0.6457 0.7847
0.6721 0.6721 0.3424
0.9782 0.9782 0.4575
```

Results
Magnetic moment (μB per formula unit): 0.00
Electronic total energy (eV/atom): -0.67
Symmetry: Cm
Excess energy over the best structure of this formula in the dataset (meV/atom): 3